1.
First-principles (SCAN) data for a PBEsol-optimized structure of BaCd2Hg2, as listed in Alexandria via LeMat-Bulk.

Computed properties:
As for the total DFT energy (no corrections): -238.9 eV per formula unit.

abc: 4.6190 4.6190 7.1632
angles: 108.81 108.81 90.00
With the nearest neighbours (Å) after each atom.
Sites, in units of the cell vectors:
Cd: 0.7500 0.2500 0.5000  4 Hg 2.89
Cd: 0.2500 0.7500 0.5000  4 Hg 2.89
Ba: 0.0000 0.0000 0.0000  8 Hg 3.57, 8 Cd 3.94
Hg: 0.3869 0.3869 0.7738  1 Hg 2.88, 4 Cd 2.89
Hg: 0.6131 0.6131 0.2262  1 Hg 2.88, 4 Cd 2.89

2.
First-principles (SCAN) data for a PBEsol-optimized structure of BaCdHg, as listed in Alexandria via LeMat-Bulk.

Computed properties:
As for the total DFT energy (no corrections): -139.7 eV per formula unit.

abc: 4.0216 5.1088 5.1088
angles: 120.00 90.00 90.00
With the nearest neighbours (Å) after each atom.
Sites, in units of the cell vectors:
Ba: 0.5000 0.0000 0.0000  6 Cd 3.57, 6 Hg 3.57
Cd: 0.0000 0.3333 0.6667  3 Hg 2.95
Hg: 0.0000 0.6667 0.3333  3 Cd 2.95

3.
First-principles (SCAN) data for a PBEsol-optimized structure of Ba2CdHg, as listed in Alexandria via LeMat-Bulk.

Computed properties:
As for the energy above the most stable polymorph in this dataset: 63 kJ/mol of formula units.

abc: 5.5576 5.5576 5.5593
angles: 119.99 119.99 90.00
With the nearest neighbours (Å) after each atom.
Sites, in units of the cell vectors:
Cd: 0.5000 0.5000 0.0000  4 Ba 3.40, 4 Hg 3.40
Hg: 0.2500 0.7500 0.5000  4 Ba 3.40, 4 Cd 3.40
Ba: 0.7500 0.2500 0.5000  4 Ba 3.40, 4 Cd 3.40
Ba: 0.0000 0.0000 0.0000  4 Hg 3.40, 4 Ba 3.40

4.
First-principles (SCAN) data for a PBEsol-optimized structure of Ba2CdHg, as listed in Alexandria via LeMat-Bulk.

Computed properties:
As for the energy above the most stable polymorph in this dataset: 1 kJ/mol of formula units.

abc: 5.8309 5.8309 5.8309
angles: 60.00 60.00 60.00
With the nearest neighbours (Å) after each atom.
Sites, in units of the cell vectors:
Ba: 0.7500 0.7500 0.7500  4 Cd 3.57, 4 Hg 3.57
Ba: 0.2500 0.2500 0.2500  4 Hg 3.57, 4 Cd 3.57
Cd: 0.5000 0.5000 0.5000  8 Ba 3.57
Hg: 0.0000 0.0000 0.0000  8 Ba 3.57

5.
First-principles (SCAN) data for a PBEsol-optimized structure of Ba2CdHg2, as listed in Alexandria via LeMat-Bulk.

Computed properties:
As for the total DFT energy (no corrections): -248.4 eV per formula unit.

abc: 4.5290 8.5830 8.5830
angles: 90.00 90.00 90.00
With the nearest neighbours (Å) after each atom.
Sites, in units of the cell vectors:
Ba: 0.5000 0.8254 0.3254  6 Hg 3.31-3.46
Ba: 0.5000 0.3254 0.1746  6 Hg 3.31-3.46
Ba: 0.5000 0.6746 0.8254  6 Hg 3.31-3.46
Ba: 0.5000 0.1746 0.6746  6 Hg 3.31-3.46
Hg: 0.0000 0.1270 0.3730  1 Hg 3.08, 2 Ba 3.31, 2 Cd 3.38
Hg: 0.0000 0.8730 0.6270  1 Hg 3.08, 2 Ba 3.31, 2 Cd 3.38
Hg: 0.0000 0.3730 0.8730  1 Hg 3.08, 2 Ba 3.31, 2 Cd 3.38
Hg: 0.0000 0.6270 0.1270  1 Hg 3.08, 2 Ba 3.31, 2 Cd 3.38
Cd: 0.0000 0.5000 0.5000  4 Hg 3.38
Cd: 0.0000 0.0000 0.0000  4 Hg 3.38

6.
First-principles (SCAN) data for a PBEsol-optimized structure of Ba3CdHg10, as listed in Alexandria via LeMat-Bulk.

Computed properties:
As for the total DFT energy (no corrections): -837.5 eV per formula unit.

abc: 5.1361 9.3013 9.3013
angles: 64.33 73.97 73.97
With the nearest neighbours (Å) after each atom.
Sites, in units of the cell vectors:
Hg: 0.5000 0.6736 0.3264  6 Hg 2.97-3.32, 2 Cd 3.09
Hg: 0.5000 0.3264 0.6736  6 Hg 2.97-3.32, 2 Cd 3.09
Hg: 0.3413 0.0143 0.3032  5 Hg 2.86-3.07
Hg: 0.3413 0.3032 0.0143  5 Hg 2.86-3.07
Hg: 0.6587 0.9857 0.6968  5 Hg 2.86-3.07
Hg: 0.1396 0.5684 0.1524  1 Cd 2.93, 3 Hg 2.97-3.07
Hg: 0.8604 0.4316 0.8476  1 Cd 2.93, 3 Hg 2.97-3.07
Hg: 0.6587 0.6968 0.9857  5 Hg 2.86-3.07
Hg: 0.1396 0.1524 0.5684  1 Cd 2.93, 3 Hg 2.97-3.07
Hg: 0.8604 0.8476 0.4316  1 Cd 2.93, 3 Hg 2.97-3.07
Ba: 0.0000 0.0000 0.0000  12 Hg 3.56-3.77
Ba: 0.2941 0.7059 0.7059  14 Hg 3.44-3.69
Ba: 0.7059 0.2941 0.2941  14 Hg 3.44-3.69
Cd: 0.0000 0.5000 0.5000  8 Hg 2.93-3.09

7.
First-principles (SCAN) data for a PBEsol-optimized structure of BaCdHg3, as listed in Alexandria via LeMat-Bulk.

Computed properties:
As for the total DFT energy (no corrections): -275.8 eV per formula unit.

abc: 5.4103 5.4103 5.4103
angles: 90.00 90.00 90.00
With the nearest neighbours (Å) after each atom.
Sites, in units of the cell vectors:
Hg: 0.5000 0.0000 0.0000  2 Cd 2.71
Hg: 0.0000 0.0000 0.5000  2 Cd 2.71
Hg: 0.0000 0.5000 0.0000  2 Cd 2.71
Ba: 0.5000 0.5000 0.5000  12 Hg 3.83
Cd: 0.0000 0.0000 0.0000  6 Hg 2.71

8.
First-principles (SCAN) data for a PBEsol-optimized structure of BaCdHg, as listed in Alexandria via LeMat-Bulk.

Computed properties:
As for the total DFT energy (no corrections): -139.4 eV per formula unit.

abc: 4.0555 4.0555 6.1920
angles: 109.12 109.12 90.00
With the nearest neighbours (Å) after each atom.
Sites, in units of the cell vectors:
Cd: 0.6877 0.6877 0.3754  4 Hg 3.18, 5 Ba 3.41-3.54
Ba: 0.9985 0.9985 0.9970  5 Cd 3.41-3.54, 5 Hg 3.46-3.51
Hg: 0.3138 0.3138 0.6276  4 Cd 3.18, 5 Ba 3.46-3.51

9.
First-principles (SCAN) data for a PBEsol-optimized structure of Ba2CdI, as listed in Alexandria via LeMat-Bulk.

Computed properties:
Its formation energy (no corrections) is -725 meV/atom.

abc: 5.9758 5.9758 5.9758
angles: 60.00 60.00 60.00
With the nearest neighbours (Å) after each atom.
Sites, in units of the cell vectors:
Cd: 0.0000 0.0000 0.0000  8 Ba 3.66
I: 0.5000 0.5000 0.5000  8 Ba 3.66
Ba: 0.7500 0.7500 0.7500  4 I 3.66, 4 Cd 3.66
Ba: 0.2500 0.2500 0.2500  4 Cd 3.66, 4 I 3.66

10.
First-principles (SCAN) data for a PBEsol-optimized structure of BaCdIN2, as listed in Alexandria via LeMat-Bulk.

Computed properties:
Its formation energy (no corrections) is 995 meV/atom.

abc: 5.2311 5.2311 6.8769
angles: 90.00 90.00 90.00
With the nearest neighbours (Å) after each atom.
Sites, in units of the cell vectors:
N: 0.0000 0.5000 0.0000  2 Ba 2.62
N: 0.5000 0.0000 0.0000  2 Ba 2.62
I: 0.0000 0.0000 0.5000  2 Ba 3.44, 4 Cd 3.70
Ba: 0.0000 0.0000 0.0000  4 N 2.62
Cd: 0.5000 0.5000 0.5000  4 I 3.70

11.
First-principles (SCAN) data for a PBEsol-optimized structure of BaTiCd2I, as listed in Alexandria via LeMat-Bulk.

Computed properties:
Its formation energy (no corrections) is 703 meV/atom.

abc: 5.8373 5.8373 6.2308
angles: 90.00 90.00 90.00
With the nearest neighbours (Å) after each atom.
Sites, in units of the cell vectors:
Ba: 0.0000 0.0000 0.5000  2 I 3.12
Cd: 0.0000 0.5000 0.0000  2 I 2.92
Cd: 0.5000 0.0000 0.0000  2 I 2.92
Ti: 0.5000 0.5000 0.5000  4 Ba 4.13, 8 Cd 4.27
I: 0.0000 0.0000 0.0000  4 Cd 2.92, 2 Ba 3.12

12.
First-principles (SCAN) data for a PBEsol-optimized structure of BaYCd2I, as listed in Alexandria via LeMat-Bulk.

Computed properties:
Its formation energy (no corrections) is -266 meV/atom.

abc: 5.7280 5.7662 5.7662
angles: 90.00 90.00 90.00
With the nearest neighbours (Å) after each atom.
Sites, in units of the cell vectors:
Y: 0.0000 0.0000 0.0000  2 I 2.86, 4 Cd 2.88
Cd: 0.0000 0.0000 0.5000  2 Y 2.88
Cd: 0.0000 0.5000 0.0000  2 Y 2.88
I: 0.5000 0.0000 0.0000  2 Y 2.86
Ba: 0.5000 0.5000 0.5000  8 Cd 4.06, 4 I 4.08

13.
First-principles (SCAN) data for a PBEsol-optimized structure of Ba2CdIn, as listed in Alexandria via LeMat-Bulk.

Computed properties:
As for the total DFT energy (no corrections): -144.6 eV per formula unit.

abc: 4.1276 5.7911 6.8446
angles: 114.98 107.55 90.00
With the nearest neighbours (Å) after each atom.
Sites, in units of the cell vectors:
Ba: 0.9722 0.9719 0.9443  4 Cd 3.63, 2 Ba 3.66, 4 In 3.69-4.03
Ba: 0.7809 0.2811 0.5618  2 Cd 3.63, 4 In 3.65, 2 Ba 3.66
In: 0.2112 0.7117 0.4223  2 Cd 2.91
Cd: 0.5358 0.5353 0.0716  2 In 2.91

14.
First-principles (SCAN) data for a PBEsol-optimized structure of Ba2CdIn, as listed in Alexandria via LeMat-Bulk.

Computed properties:
As for the total DFT energy (no corrections): -144.7 eV per formula unit.

abc: 4.0219 5.8021 6.0736
angles: 90.00 90.00 90.00
With the nearest neighbours (Å) after each atom.
Sites, in units of the cell vectors:
Ba: 0.0000 0.0000 0.0894  4 Cd 3.51-3.78, 4 In 3.58, 2 Ba 3.89
Ba: 0.0000 0.5000 0.6623  4 In 3.53-3.76, 4 Cd 3.58, 2 Ba 3.89
Cd: 0.5000 0.0000 0.5632  8 Ba 3.51-3.78, 2 In 3.70
In: 0.5000 0.5000 0.1852  8 Ba 3.53-3.76, 2 Cd 3.70

Number 1: total moment 0.00 μB/cell. Number 2: total moment 0.00 μB/cell. Number 3: total moment 0.00 μB/cell. Number 4: total moment 0.00 μB/cell. Number 5: total moment 0.00 μB/cell. Number 6: total moment 0.00 μB/cell. Number 7: total moment 0.00 μB/cell. Number 8: total moment 0.00 μB/cell. Number 9: total moment 2.45 μB/cell. Number 10: total moment 4.81 μB/cell. Number 11: total moment 3.64 μB/cell. Number 12: total moment 0.00 μB/cell. Number 13: total moment 0.00 μB/cell. Number 14: total moment 0.00 μB/cell.